No. 1
LiHfRe | GGA-PBE | optimized geometry

Geometry as extended XYZ:
```
3
Lattice="0.0000 3.1048 3.1048 3.1048 0.0000 3.1048 3.1048 3.1048 0.0000" Properties=species:S:1:pos:R:3 pbc="T T T"
Hf 0.0000 0.0000 0.0000
Li 1.5524 1.5524 1.5524
Re 4.6572 4.6572 4.6572
```

Computed properties:
Space group: F-43m (216)
Total DFT energy (no corrections), eV/f.u.: -20.90
Volume, Å³/cell: 59.9
Crystal system: cubic



No. 2
Er2Fe4B4Ir | GGA-PBE | optimized geometry

Geometry as extended XYZ:
```
11
Lattice="0.0000 4.7986 5.4610 2.5238 0.0000 5.4610 2.5238 4.7986 0.0000" Properties=species:S:1:pos:R:3 pbc="T T T"
B 2.5238 1.5452 6.9549
B 2.5238 1.5452 3.9671
B 2.5238 8.0520 6.9549
B 2.5238 8.0520 3.9671
Er 2.5238 4.7986 7.0776
Er 2.5238 4.7986 3.8443
Fe 1.2619 2.3993 5.4610
Fe 1.2619 2.3993 2.7305
Fe 1.2619 2.3993 0.0000
Fe 3.7857 7.1978 8.1914
Ir 0.0000 0.0000 0.0000
```

Computed properties:
Space group: Fmmm (69)
Total DFT energy (no corrections), eV/f.u.: -83.61
Volume, Å³/cell: 132.3
Crystal system: orthorhombic



No. 3
ErAl3N | GGA-PBE | optimized geometry

Geometry as extended XYZ:
```
5
Lattice="-0.1548 1.8260 3.9178 -4.0933 -1.3214 0.4541 1.3886 -3.6915 1.7754" Properties=species:S:1:pos:R:3 pbc="T T T"
Al -2.1241 0.2523 2.1860
Al 0.6169 -0.9328 2.8466
Al -1.3523 -2.5065 1.1147
Er 0.0000 0.0000 0.0000
N -1.4298 -1.5935 3.0737
```

Computed properties:
Space group: Pm-3m (221)
Total DFT energy (no corrections), eV/f.u.: -23.89
Volume, Å³/cell: 80.9
Crystal system: cubic



No. 4
Pr3Cu2Si4Pd2 | GGA-PBE | optimized geometry

Geometry as extended XYZ:
```
11
Lattice="-9.7933 6.6638 3.7104 -12.1868 2.3304 0.3642 10.7568 -6.1803 0.4200" Properties=species:S:1:pos:R:3 pbc="T T T"
Cu -2.1331 0.8729 0.3954
Cu -19.8470 8.1213 3.6792
Pd -4.9933 2.4821 3.0802
Pd -6.2300 0.3318 1.4145
Pr -7.7687 3.1789 1.4401
Pr -14.2114 5.8153 2.6345
Pr 0.4818 0.2417 2.0652
Si -4.2926 1.7565 0.7958
Si -17.6875 7.2377 3.2789
Si -9.4051 4.2874 3.8980
Si -1.8182 -1.4735 0.5966
```

Computed properties:
Space group: Immm (71)
Total DFT energy (no corrections), eV/f.u.: -62.11
Volume, Å³/cell: 215.0
Crystal system: orthorhombic



No. 5
CsNa2Lu2BP2O11 | GGA-PBE | optimized geometry

Geometry as extended XYZ:
```
38
Lattice="5.3311 4.1999 4.2625 -7.5492 -1.9864 1.8145 3.4106 -8.8724 4.4766" Properties=species:S:1:pos:R:3 pbc="T T T"
B 5.9947 1.8910 5.3457
B -4.8022 -8.5500 5.2078
Cs -0.0137 -0.9948 4.2038
Cs 1.2061 -5.6642 6.3498
Lu 3.9147 3.1747 4.1190
Lu 5.3961 -0.6792 6.0634
Lu -4.2037 -5.9798 4.4901
Lu -2.7223 -9.8337 6.4346
Na -2.8364 -3.1864 2.0105
Na -3.9674 -2.0578 5.1091
Na 5.1598 -4.6012 5.4444
Na 4.0288 -3.4725 8.5431
O -2.1181 -0.5088 1.8527
O -2.9289 0.3002 4.0740
O 2.1558 1.5076 4.0842
O -4.1898 -1.5604 2.8855
O -6.7575 -2.9913 2.4695
O 4.7574 1.2968 5.1106
O -5.9511 -5.0890 3.5278
O -3.2552 -3.9918 4.1122
O 3.1036 -0.9579 5.3282
O -0.7579 -4.0474 3.6381
O -1.5686 -3.2383 5.8593
O 2.7611 -3.4206 4.6942
O 1.9503 -2.6116 6.9155
O -1.9111 -5.7010 5.2254
O 4.4476 -2.6672 6.4413
O 7.1436 -1.5700 7.0257
O -3.5650 -7.9557 5.4430
O 7.9499 -3.6676 8.0841
O 5.3822 -5.0986 7.6681
O -0.9634 -8.1665 6.4694
O 4.1213 -6.9592 6.4796
O 3.3105 -6.1501 8.7008
P -3.3779 -0.2400 2.7009
P -1.8395 -4.2423 4.7202
P 3.0319 -2.4167 5.8333
P 4.5703 -6.4189 7.8527
```

Computed properties:
Space group: Cmcm (63)
Total DFT energy (no corrections), eV/f.u.: -136.69
Volume, Å³/cell: 520.7
Crystal system: orthorhombic



No. 6
Nb4GaSbC2 | GGA-PBE | optimized geometry

Geometry as extended XYZ:
```
8
Lattice="-2.9570 0.7646 -1.1414 1.2376 -2.9683 -0.5374 -5.5191 -4.3608 11.3771" Properties=species:S:1:pos:R:3 pbc="T T T"
C -1.5200 -2.7981 2.0634
C -4.3204 -5.0108 7.8362
Ga 0.0000 0.0000 0.0000
Nb -2.4361 -1.1729 0.8684
Nb -1.8438 -1.4568 3.8008
Nb -3.6753 -2.9040 7.5763
Nb -6.2006 -4.1473 8.6285
Sb -4.3184 -2.6601 4.7485
```

Computed properties:
Space group: P-6m2 (187)
Total DFT energy (no corrections), eV/f.u.: -69.48
Volume, Å³/cell: 123.2
Crystal system: hexagonal



No. 7
PrPaSn | GGA-PBE | optimized geometry

Geometry as extended XYZ:
```
3
Lattice="0.0000 3.6892 3.6892 3.6892 0.0000 3.6892 3.6892 3.6892 0.0000" Properties=species:S:1:pos:R:3 pbc="T T T"
Pa 0.0000 0.0000 0.0000
Pr 3.6892 3.6892 3.6892
Sn 5.5338 5.5338 5.5338
```

Computed properties:
Space group: F-43m (216)
Total DFT energy (no corrections), eV/f.u.: -17.73
Volume, Å³/cell: 100.4
Crystal system: cubic



No. 8
LuFeSiPd | GGA-PBE | optimized geometry

Geometry as extended XYZ:
```
4
Lattice="-0.1180 -4.1020 -1.6410 1.6036 -3.3726 2.3637 -2.7538 -2.9934 1.7290" Properties=species:S:1:pos:R:3 pbc="T T T"
Fe -0.9511 -7.8510 1.8388
Lu -0.6341 -5.2340 1.2258
Pd -0.3170 -2.6170 0.6129
Si 0.0000 0.0000 0.0000
```

Computed properties:
Space group: F-43m (216)
Total DFT energy (no corrections), eV/f.u.: -25.04
Volume, Å³/cell: 61.0
Crystal system: cubic